# 1
## Pu2PaNi4Ge3 (GGA-PBE)

Data for a geometry-optimized Pu2PaNi4Ge3 structure.

The structure belongs to space group P-4m2 (No. 115); the cell edges are 4.237, 4.237 and 9.856 Å and the angles 90.00°, 90.00° and 90.00°. Symmetry generates all atoms from Pu at (0.000, 0.500, 0.233), Pa at (0.000, 0.000, 0.500), Ni at (0.000, 0.000, 0.000), Ni at (0.000, 0.500, 0.647), Ni at (0.500, 0.500, 0.000), Ge at (0.000, 0.500, 0.883) and Ge at (0.500, 0.500, 0.500).

Its electronic total energy is -79.45 eV/cell. As for the formation energy: -4.32 eV per formula unit. As for the calculated volume: 176.9 Å³/cell.

***

# 2
## Pu2Pa2NiGe4 (GGA-PBE)

Data for a geometry-optimized Pu2Pa2NiGe4 structure.

The structure belongs to space group I4/mmm (No. 139); the cell edges are 6.848, 6.848 and 8.184 Å and the angles 90.00°, 90.00° and 90.00°. Symmetry generates all atoms from Pu at (0.000, 0.000, 0.181), Pa at (0.000, 0.500, 0.250), Ni at (0.000, 0.000, 0.500) and Ge at (0.238, 0.238, 0.500).

Its electronic total energy is -148.39 eV/cell. As for the formation energy: -2.29 eV per formula unit. As for the calculated volume: 383.7 Å³/cell.

***

# 3
## PaNiGe2Rh2 (GGA-PBE)

Data for a geometry-optimized PaNiGe2Rh2 structure.

The structure belongs to space group P4/mmm (No. 123); the cell edges are 4.422, 4.422 and 5.381 Å and the angles 90.00°, 90.00° and 90.00°. Symmetry generates all atoms from Pa at (0.000, 0.000, 0.000), Ni at (0.000, 0.000, 0.500), Ge at (0.000, 0.500, 0.500) and Rh at (0.500, 0.500, 0.240).

Its electronic total energy is -40.49 eV/cell. As for the formation energy: -1.28 eV per formula unit. As for the calculated volume: 105.2 Å³/cell.

***

# 4
## Pa2Ni4Ge3Rh (GGA-PBE)

Data for a geometry-optimized Pa2Ni4Ge3Rh structure.

The structure belongs to space group P-4m2 (No. 115); the cell edges are 3.880, 3.880 and 10.598 Å and the angles 90.00°, 90.00° and 90.00°. Symmetry generates all atoms from Pa at (0.000, 0.500, 0.242), Ni at (0.000, 0.000, 0.500), Ni at (0.000, 0.500, 0.842), Ni at (0.500, 0.500, 0.500), Ge at (0.000, 0.000, 0.000), Ge at (0.000, 0.500, 0.624) and Rh at (0.500, 0.500, 0.000).

Its electronic total energy is -68.89 eV/cell. As for the formation energy: -5.57 eV per formula unit. As for the calculated volume: 159.5 Å³/cell.

***

# 5
## Pa2NiGe4Rh3 (GGA-PBE)

Data for a geometry-optimized Pa2NiGe4Rh3 structure.

The structure belongs to space group P-4m2 (No. 115); the cell edges are 4.188, 4.188 and 9.995 Å and the angles 90.00°, 90.00° and 90.00°. Symmetry generates all atoms from Pa at (0.000, 0.500, 0.244), Ni at (0.500, 0.500, 0.000), Ge at (0.000, 0.000, 0.500), Ge at (0.000, 0.500, 0.872), Ge at (0.500, 0.500, 0.500), Rh at (0.000, 0.000, 0.000) and Rh at (0.000, 0.500, 0.631).

Its electronic total energy is -72.02 eV/cell. As for the formation energy: -6.73 eV per formula unit. As for the calculated volume: 175.3 Å³/cell.

***

# 6
## Pa2Ni4Ge3Ru (GGA-PBE)

Data for a geometry-optimized Pa2Ni4Ge3Ru structure.

The structure belongs to space group P-4m2 (No. 115); the cell edges are 3.854, 3.854 and 10.694 Å and the angles 90.00°, 90.00° and 90.00°. Symmetry generates all atoms from Pa at (0.000, 0.500, 0.239), Ni at (0.000, 0.000, 0.500), Ni at (0.000, 0.500, 0.841), Ni at (0.500, 0.500, 0.500), Ge at (0.000, 0.000, 0.000), Ge at (0.000, 0.500, 0.624) and Ru at (0.500, 0.500, 0.000).

Its electronic total energy is -70.17 eV/cell. As for the formation energy: -4.92 eV per formula unit. As for the calculated volume: 158.8 Å³/cell.

***

Which value of calculated volume does entry 1 give?
176.9 Å³/cell

***

calculated volume of number 3 (PaNiGe2Rh2)?
105.2 Å³/cell